1.
VASP calculation (GGA-PBE) on a relaxed SrLaLu crystal.

```
SrLaLu
1.0
-3.409 -0.873 1.485
-1.003 -1.672 -3.284
5.130 -5.662 3.537
Sr La Lu
1 1 1
Cartesian
0.691 -8.139 1.713 Sr
-1.134 -3.813 0.067 La
1.882 -4.461 1.697 Lu
```

**Relative energy among the computed polymorphs**: 0.000 eV/atom
**Fermi-level density of states**: 4.74 states/eV/cell
**Space group**: I4mm, No. 107
**E_tot**: -3.580 eV/atom
**Energy of formation**: 0.13 eV/atom
**Total moment**: 0.000 μB per atom



2.
VASP calculation (GGA-PBE) on a relaxed SrLa2Lu crystal.

```
SrLa2Lu
1.0
-2.983 0.685 -5.159
-4.624 -3.597 -1.292
-5.591 2.173 0.034
La Lu Sr
2 1 1
Cartesian
-3.299 -0.185 -1.604 La
-9.898 -0.554 -4.812 La
-6.599 -0.369 -3.208 Lu
0.000 0.000 0.000 Sr
```

**Relative energy among the computed polymorphs**: 0.003 eV/atom
**Fermi-level density of states**: 5.00 states/eV/cell
**Space group**: Fm-3m, No. 225
**E_tot**: -3.832 eV/atom
**Energy of formation**: 0.18 eV/atom
**Total moment**: 0.000 μB per atom



3.
VASP calculation (GGA-PBE) on a relaxed SrLaLu crystal.

```
SrLaLu
1.0
3.768 0.000 0.000
-1.884 3.263 0.000
0.000 0.000 9.371
Lu Sr La
1 1 1
Cartesian
1.884 1.088 3.265 Lu
0.000 0.000 0.099 Sr
0.000 2.175 6.007 La
```

**Relative energy among the computed polymorphs**: 0.016 eV/atom
**Fermi-level density of states**: 4.11 states/eV/cell
**Space group**: P3m1, No. 156
**E_tot**: -3.565 eV/atom
**Energy of formation**: 0.15 eV/atom
**Total moment**: 0.000 μB per atom



4.
VASP calculation (GGA-PBE) on a relaxed SrLa2Lu crystal.

```
SrLa2Lu
1.0
5.247 0.000 0.000
0.000 5.366 0.000
0.000 0.000 5.366
Sr La Lu
1 2 1
Cartesian
2.624 0.000 0.000 Sr
0.000 2.683 0.000 La
0.000 0.000 2.683 La
2.624 2.683 2.683 Lu
```

**Relative energy among the computed polymorphs**: 0.000 eV/atom
**Fermi-level density of states**: 7.05 states/eV/cell
**Space group**: P4/mmm, No. 123
**E_tot**: -3.835 eV/atom
**Energy of formation**: 0.18 eV/atom
**Total moment**: 0.000 μB per atom



5.
VASP calculation (GGA-PBE) on a relaxed La2TbLu crystal.

```
La2TbLu
1.0
4.990 0.000 0.000
0.000 5.197 0.000
0.000 0.000 5.197
Lu La Tb
1 2 1
Cartesian
2.495 0.000 0.000 Lu
0.000 2.599 0.000 La
0.000 0.000 2.599 La
2.495 2.599 2.599 Tb
```

**Relative energy among the computed polymorphs**: 0.000 eV/atom
**Fermi-level density of states**: 6.29 states/eV/cell
**Space group**: P4/mmm, No. 123
**E_tot**: -4.728 eV/atom
**Energy of formation**: 0.02 eV/atom
**Total moment**: 0.001 μB per atom



6.
VASP calculation (GGA-PBE) on a relaxed LaTbLu crystal.

```
LaTbLu
1.0
3.594 0.000 0.000
-1.797 3.113 0.000
0.000 0.000 8.740
Tb La Lu
1 1 1
Cartesian
0.000 2.075 5.756 Tb
0.000 0.000 0.028 La
1.797 1.038 2.956 Lu
```

**Relative energy among the computed polymorphs**: 0.000 eV/atom
**Fermi-level density of states**: 3.86 states/eV/cell
**Space group**: P3m1, No. 156
**E_tot**: -4.667 eV/atom
**Energy of formation**: 0.03 eV/atom
**Total moment**: 0.000 μB per atom



7.
VASP calculation (GGA-PBE) on a relaxed LaTbLu crystal.

```
LaTbLu
1.0
3.608 0.000 0.000
0.000 3.608 0.000
-1.804 -1.804 7.566
La Tb Lu
1 1 1
Cartesian
0.000 0.000 5.027 La
0.000 0.000 0.063 Tb
1.804 1.804 2.477 Lu
```

**Relative energy among the computed polymorphs**: 0.012 eV/atom
**Fermi-level density of states**: 4.65 states/eV/cell
**Space group**: I4mm, No. 107
**E_tot**: -4.655 eV/atom
**Energy of formation**: 0.04 eV/atom
**Total moment**: 0.000 μB per atom



8.
VASP calculation (GGA-PBE) on a relaxed La2TbLu crystal.

```
La2TbLu
1.0
5.782 0.000 0.000
2.891 5.008 0.000
2.891 1.669 4.721
La Tb Lu
2 1 1
Cartesian
2.891 1.669 1.180 La
8.673 5.008 3.541 La
0.000 0.000 0.000 Tb
5.782 3.338 2.361 Lu
```

**Relative energy among the computed polymorphs**: 0.053 eV/atom
**Fermi-level density of states**: 6.74 states/eV/cell
**Space group**: Fm-3m, No. 225
**E_tot**: -4.674 eV/atom
**Energy of formation**: 0.08 eV/atom
**Total moment**: 0.002 μB per atom